1.
{"formula": "Pr4ZnCu", "functional": "GGA-PBE", "state": "optimized geometry", "cell": [[-3.301, -1.596, -0.583], [1.675, -2.843, -1.703], [0.964, -6.007, 10.976]], "species": ["Zn", "Pr", "Pr", "Pr", "Pr", "Cu"], "fractional_positions": [[0.000, 0.000, 0.000], [0.000, 0.000, 0.635], [0.500, 0.500, 0.856], [0.500, 0.500, 0.144], [0.000, 0.000, 0.365], [0.500, 0.500, 0.500]], "m_tot_mub_per_cell": 0.0, "ef_ev_per_atom": -0.13, "polymorph_energy_kj_per_mol_atoms": 0.0, "dos_at_fermi_per_ev_fu": 6.97}

***

2.
{"formula": "Na3Er3HfS8", "functional": "GGA-PBE", "state": "optimized geometry", "cell": [[-5.482, -1.800, -5.219], [-1.287, -1.228, 7.574], [0.105, 7.636, -2.743]], "species": ["Na", "Na", "Na", "Er", "Er", "Er", "S", "S", "S", "S", "S", "S", "S", "S", "Hf"], "fractional_positions": [[0.500, 0.500, 0.000], [0.000, 0.500, 0.000], [0.000, 0.000, 0.000], [0.500, 0.500, 0.500], [0.500, 0.000, 0.500], [0.000, 0.500, 0.500], [0.230, 0.460, 0.715], [0.258, 0.517, 0.275], [0.755, 0.985, 0.715], [0.770, 0.540, 0.285], [0.245, 0.015, 0.285], [0.230, 0.985, 0.715], [0.742, 0.483, 0.725], [0.770, 0.015, 0.285], [0.000, 0.000, 0.500]], "m_tot_mub_per_cell": 0.0, "formation_energy_uncorrected_ev_per_atom": -1.80, "dos_at_fermi_per_ev_fu": 0.00}

***

3.
{"formula": "Ce2Sm4Bi3N2", "functional": "GGA-PBE", "state": "optimized geometry", "cell": [[-1.863, -3.231, 3.048], [3.763, 0.608, 2.945], [-7.387, 10.915, 3.248]], "species": ["Bi", "Bi", "Bi", "N", "N", "Sm", "Sm", "Sm", "Sm", "Ce", "Ce"], "fractional_positions": [[0.000, 0.000, 0.000], [0.822, 0.822, 0.643], [0.178, 0.178, 0.357], [0.606, 0.606, 0.212], [0.394, 0.394, 0.788], [0.417, 0.917, 0.833], [0.583, 0.083, 0.167], [0.083, 0.583, 0.167], [0.917, 0.417, 0.833], [0.690, 0.690, 0.381], [0.310, 0.310, 0.619]], "m_tot_mub_per_cell": 2.3, "formation_energy_uncorrected_ev_per_atom": -1.01, "dos_at_fermi_per_ev_fu": 16.07}

***

4.
{"formula": "FeRu4Au", "functional": "GGA-PBE", "state": "optimized geometry", "cell": [[0.000, 3.602, 3.602], [3.602, 0.000, 3.602], [3.602, 3.602, 0.000]], "species": ["Ru", "Ru", "Ru", "Ru", "Au", "Fe"], "fractional_positions": [[0.625, 0.625, 0.625], [0.625, 0.125, 0.625], [0.625, 0.625, 0.125], [0.125, 0.625, 0.625], [0.250, 0.250, 0.250], [0.000, 0.000, 0.000]], "m_tot_mub_per_cell": 5.4, "ef_ev_per_atom": 0.64, "dos_at_fermi_per_ev_fu": 9.87}

***

5.
{"formula": "SrPaAsP", "functional": "GGA-PBE", "state": "optimized geometry", "cell": [[-3.984, -0.759, -1.018], [-1.155, -3.832, -1.211], [-3.096, -3.224, 5.932]], "species": ["P", "As", "Pa", "Sr"], "fractional_positions": [[0.262, 0.262, 0.215], [0.739, 0.739, 0.782], [0.997, 0.997, 0.010], [0.502, 0.502, 0.494]], "m_tot_mub_per_cell": 0.5, "ef_ev_per_atom": -1.17, "dos_at_fermi_per_ev_fu": 4.17}

***

6.
{"formula": "Pu2ZnTcGe6", "functional": "GGA-PBE", "state": "optimized geometry", "cell": [[6.239, 0.000, 0.000], [3.119, 5.403, 0.000], [3.119, 1.801, 11.925]], "species": ["Ge", "Ge", "Ge", "Ge", "Ge", "Ge", "Ge", "Ge", "Ge", "Ge", "Ge", "Ge", "Zn", "Zn", "Tc", "Tc", "Pu", "Pu", "Pu", "Pu"], "fractional_positions": [[0.229, 0.659, 0.883], [0.771, 0.771, 0.117], [0.229, 0.229, 0.883], [0.667, 0.667, 0.604], [0.341, 0.771, 0.117], [0.063, 0.667, 0.604], [0.771, 0.341, 0.117], [0.333, 0.333, 0.396], [0.667, 0.063, 0.604], [0.659, 0.229, 0.883], [0.333, 0.937, 0.396], [0.937, 0.333, 0.396], [0.572, 0.572, 0.283], [0.428, 0.428, 0.717], [0.000, 0.000, 0.000], [0.500, 0.500, 0.500], [0.109, 0.109, 0.674], [0.295, 0.295, 0.116], [0.891, 0.891, 0.326], [0.705, 0.705, 0.884]], "m_tot_mub_per_cell": 0.9, "ef_ev_per_atom": -0.12, "dos_at_fermi_per_ev_fu": 16.25}